1.
{"formula": "ZrVTcBi2", "functional": "PBE", "state": "relaxed", "lattice": [[5.599, 0.000, 0.000], [0.000, 5.599, 0.000], [0.000, 0.000, 4.682]], "species": ["Zr", "V", "Tc", "Bi", "Bi"], "fractional_positions": [[0.000, 0.000, 0.000], [0.500, 0.500, 0.500], [0.000, 0.000, 0.500], [0.000, 0.500, 0.000], [0.500, 0.000, 0.000]], "space_group": "P4/mmm (123)", "formation_energy_mev_per_atom": 1550, "crystal_system": "tetragonal"}



2.
{"formula": "Tc2Bi2W", "functional": "PBE", "state": "relaxed", "lattice": [[6.706, 0.000, 0.000], [0.000, 6.706, 0.000], [0.000, 0.000, 4.598]], "species": ["Tc", "Tc", "Tc", "Tc", "Bi", "Bi", "Bi", "Bi", "W", "W"], "fractional_positions": [[0.132, 0.368, 0.000], [0.368, 0.868, 0.000], [0.632, 0.132, 0.000], [0.868, 0.632, 0.000], [0.182, 0.682, 0.500], [0.318, 0.182, 0.500], [0.682, 0.818, 0.500], [0.818, 0.318, 0.500], [0.000, 0.000, 0.000], [0.500, 0.500, 0.000]], "space_group": "P4/mbm (127)", "formation_energy_mev_per_atom": 814, "crystal_system": "tetragonal"}



3.
{"formula": "TcBi3W", "functional": "PBE", "state": "relaxed", "lattice": [[5.272, 0.000, 0.000], [0.000, 5.272, 0.000], [0.000, 0.000, 5.272]], "species": ["Tc", "Bi", "Bi", "Bi", "W"], "fractional_positions": [[0.000, 0.000, 0.000], [0.000, 0.000, 0.500], [0.000, 0.500, 0.000], [0.500, 0.000, 0.000], [0.500, 0.500, 0.500]], "space_group": "Pm-3m (221)", "formation_energy_mev_per_atom": 1528, "crystal_system": "cubic", "e_above_lowest_polymorph_mev_per_atom": 0}



4.
{"formula": "TcBi3W", "functional": "PBE", "state": "relaxed", "lattice": [[5.374, 0.000, 0.000], [0.000, 5.374, 0.000], [0.000, 0.000, 5.374]], "species": ["Tc", "Bi", "Bi", "Bi", "W"], "fractional_positions": [[0.000, 0.000, 0.000], [0.000, 0.500, 0.500], [0.500, 0.000, 0.500], [0.500, 0.500, 0.000], [0.500, 0.500, 0.500]], "space_group": "Pm-3m (221)", "formation_energy_mev_per_atom": 1536, "crystal_system": "cubic", "e_above_lowest_polymorph_mev_per_atom": 9}